Below is a relaxed PmDy3Sn3 crystal, with properties calculated at the PBE level.

abc: 9.209 9.209 5.395
angles: 90.00 90.00 120.00
Fractional positions:
Pm: 0.333 0.667 0.250
Pm: 0.667 0.333 0.750
Dy: 0.003 0.239 0.250
Dy: 0.236 0.997 0.250
Dy: 0.239 0.236 0.750
Dy: 0.761 0.764 0.250
Dy: 0.764 0.003 0.750
Dy: 0.997 0.761 0.750
Sn: 0.074 0.450 0.750
Sn: 0.377 0.926 0.750
Sn: 0.450 0.377 0.250
Sn: 0.550 0.623 0.750
Sn: 0.623 0.074 0.250
Sn: 0.926 0.550 0.250

Electronic total energy = -68.754 eV/cell
Symmetry = P6_3/m (176)
Energy relative to the elements = -0.545 eV per atom
Size of the total moment = 0.00 μB per formula unit